NaMoCl6: relaxed, PBE.

a = 7.0214 Å, b = 7.0214 Å, c = 7.0214 Å
α = 55.47°, β = 55.47°, γ = 55.47°
Sites, in units of the cell vectors:
Na: 0.0000 0.0000 0.0000
Mo: 0.5000 0.5000 0.5000
Cl: 0.1214 0.7098 0.4412
Cl: 0.2902 0.5588 0.8786
Cl: 0.4412 0.1214 0.7098
Cl: 0.5588 0.8786 0.2902
Cl: 0.7098 0.4412 0.1214
Cl: 0.8786 0.2902 0.5588

Output
ρ	2514	kg/m3
total energy	-3.931	eV per atom